Density functional theory data (PBE-GGA) for a geometry-optimized BeCdTe2N structure.

Density of states at the Fermi level: 4.372 states/eV/f.u.
Formation energy without anion corrections: 33.7 kcal/mol of atoms
Mass density: 4.87 g cm⁻³
Total magnetization: 1.9 Bohr magnetons per cell

Cell lengths 5.7416, 5.7416, 4.0379 Å; angles 90.00, 90.00, 90.00 degrees
Each line ends with the local moment (μB).
Fractional coordinates of all 5 atoms:
Cd  0.0000  0.0000  0.0000  0.04
Te  0.5000  0.0000  0.0000  0.12
Te  0.0000  0.5000  0.0000  0.12
N  0.0000  0.0000  0.5000  1.02
Be  0.5000  0.5000  0.5000  0.00